# BaCr10O15 PBE with a Hubbard U optimized geometry
# **DFT total energy**: -404.2 eV for the cell shown
# **Magnetization**: 1.23 μB/atom
data_BaCr10O15
_cell_length_a 7.8531
_cell_length_b 7.8531
_cell_length_c 9.6259
_cell_angle_alpha 90.00
_cell_angle_beta 90.00
_cell_angle_gamma 96.57
_symmetry_space_group_name_H-M 'P 1'
_symmetry_Int_Tables_number 1
_symmetry_space_group_name_Hall 'P 1'
loop_
_atom_site_label
_atom_site_fract_x
_atom_site_fract_y
_atom_site_fract_z
Cr1 0.0934 0.5816 0.1147
Cr2 0.9184 0.4066 0.6147
Cr3 0.2115 0.9570 0.1433
O1 0.9589 0.2225 0.7597
Cr4 0.9066 0.4184 0.8853
Cr5 0.5816 0.0934 0.1147
O2 0.5647 0.0647 0.7500
O3 0.1450 0.1450 0.2603
O4 0.7439 0.2561 0.5000
O5 0.5000 0.5000 0.5000
O6 0.7225 0.4589 0.7403
O7 0.7775 0.0411 0.2403
O8 0.4589 0.7225 0.7403
Ba1 0.0000 0.0000 0.5000
O9 0.1354 0.3963 0.5054
Cr6 0.5430 0.2885 0.6433
O10 0.3646 0.1037 0.0054
Cr7 0.6834 0.6834 0.6348
Cr8 0.7885 0.0430 0.8567
Cr9 0.4570 0.7115 0.3567
Cr10 0.8166 0.8166 0.1348
Cr11 0.5934 0.0816 0.3853
O11 0.9353 0.4353 0.2500
O12 0.7561 0.2439 0.0000
O13 0.0000 0.0000 0.0000
O14 0.8646 0.6037 0.4946
O15 0.2225 0.9589 0.7597
O16 0.5411 0.2775 0.2597
O17 0.2775 0.5411 0.2597
O18 0.2561 0.7439 0.5000
Cr12 0.2885 0.5430 0.6433
Cr13 0.3166 0.3166 0.3652
O19 0.6354 0.8963 0.9946
Cr14 0.1834 0.1834 0.8652
Cr15 0.9570 0.2115 0.1433
O20 0.2439 0.7561 0.0000
O21 0.3963 0.1354 0.5054
Cr16 0.7115 0.4570 0.3567
Cr17 0.0816 0.5934 0.3853
O22 0.6450 0.6450 0.2397
O23 0.3550 0.3550 0.7603
Cr18 0.4066 0.9184 0.6147
Ba2 0.5000 0.5000 0.0000
O24 0.8550 0.8550 0.7397
O25 0.4353 0.9353 0.2500
Cr19 0.4184 0.9066 0.8853
O26 0.1037 0.3646 0.0054
O27 0.6037 0.8646 0.4946
O28 0.0411 0.7775 0.2403
O29 0.8963 0.6354 0.9946
O30 0.0647 0.5647 0.7500
Cr20 0.0430 0.7885 0.8567